#one
First-principles (PBE) data for SrCoCuMo after structural relaxation, as listed in the Open Quantum Materials Database.

## Properties
Space group ... No. 216

Cell: 4.623 4.623 4.623 Å, 60.00 60.00 60.00°
Fractional coordinates of all 4 atoms:
Co: 0.250 0.250 0.250
Cu: 0.750 0.750 0.750
Mo: 0.000 0.000 0.000
Sr: 0.500 0.500 0.500

=====

#two
First-principles (PBE) data for SrCoCuMo after structural relaxation, as listed in the Open Quantum Materials Database.

## Properties
Space group ... No. 216

Cell: 4.544 4.544 4.544 Å, 60.00 60.00 60.00°
Fractional coordinates of all 4 atoms:
Co: 0.000 0.000 0.000
Cu: 0.750 0.750 0.750
Mo: 0.250 0.250 0.250
Sr: 0.500 0.500 0.500

=====

#three
First-principles (PBE) data for SrCoCuMo after structural relaxation, as listed in the Open Quantum Materials Database.

## Properties
Space group ... No. 216

Cell: 4.616 4.616 4.616 Å, 60.00 60.00 60.00°
Fractional coordinates of all 4 atoms:
Co: 0.500 0.500 0.500
Cu: 0.750 0.750 0.750
Mo: 0.000 0.000 0.000
Sr: 0.250 0.250 0.250

=====

Which one sits at the top of the stability order? #one does.

=====

#one
First-principles (PBE) data for NaCoCuSe3 after structural relaxation, as listed in the Open Quantum Materials Database.

## Properties
Space group ... No. 63

Cell: 3.543 6.872 9.553 Å, 90.00 90.00 75.06°
Fractional coordinates of all 12 atoms:
Co: 0.000 0.000 0.000
Co: 0.000 0.000 0.500
Cu: 0.550 0.899 0.250
Cu: 0.450 0.101 0.750
Na: 0.241 0.519 0.250
Na: 0.759 0.481 0.750
Se: 0.625 0.751 0.027
Se: 0.929 0.142 0.250
Se: 0.625 0.751 0.473
Se: 0.375 0.249 0.527
Se: 0.071 0.858 0.750
Se: 0.375 0.249 0.973

=====

#two
First-principles (PBE) data for NaCoCuSe3 after structural relaxation, as listed in the Open Quantum Materials Database.

## Properties
Space group ... No. 11

Cell: 7.375 3.617 9.280 Å, 90.00 110.12 90.00°
Fractional coordinates of all 12 atoms:
Co: 0.180 0.250 0.151
Co: 0.820 0.750 0.849
Cu: 0.432 0.750 0.395
Cu: 0.568 0.250 0.605
Na: 0.753 0.250 0.292
Na: 0.247 0.750 0.708
Se: 0.954 0.750 0.122
Se: 0.392 0.750 0.131
Se: 0.227 0.250 0.428
Se: 0.773 0.750 0.572
Se: 0.608 0.250 0.869
Se: 0.046 0.250 0.878

=====

Which one sits at the top of the stability order? #two does.

=====

#one
First-principles (PBE) data for NaCoCuTc after structural relaxation, as listed in the Open Quantum Materials Database.

## Properties
Space group ... No. 216

Cell: 4.267 4.267 4.267 Å, 60.00 60.00 60.00°
Fractional coordinates of all 4 atoms:
Co: 0.500 0.500 0.500
Cu: 0.000 0.000 0.000
Na: 0.750 0.750 0.750
Tc: 0.250 0.250 0.250

=====

#two
First-principles (PBE) data for NaCoCuTc after structural relaxation, as listed in the Open Quantum Materials Database.

## Properties
Space group ... No. 216

Cell: 4.212 4.212 4.212 Å, 60.00 60.00 60.00°
Fractional coordinates of all 4 atoms:
Co: 0.250 0.250 0.250
Cu: 0.000 0.000 0.000
Na: 0.750 0.750 0.750
Tc: 0.500 0.500 0.500

=====

Which one sits at the top of the stability order? #one does.

=====

#one
First-principles (PBE) data for NbCoCu after structural relaxation, as listed in the Open Quantum Materials Database.

## Properties
Space group ... No. 216

Cell: 4.019 4.019 4.019 Å, 60.00 60.00 60.00°
Fractional coordinates of all 3 atoms:
Co: 0.000 0.000 0.000
Cu: 0.250 0.250 0.250
Nb: 0.750 0.750 0.750

=====

#two
First-principles (PBE) data for NbCoCu after structural relaxation, as listed in the Open Quantum Materials Database.

## Properties
Space group ... No. 216

Cell: 4.086 4.086 4.086 Å, 60.00 60.00 60.00°
Fractional coordinates of all 3 atoms:
Co: 0.750 0.750 0.750
Cu: 0.250 0.250 0.250
Nb: 0.000 0.000 0.000

=====

Which one sits at the top of the stability order? #one does.

=====

#one
First-principles (PBE) data for NbCoCuPb after structural relaxation, as listed in the Open Quantum Materials Database.

## Properties
Space group ... No. 216

Cell: 4.468 4.468 4.468 Å, 60.00 60.00 60.00°
Fractional coordinates of all 4 atoms:
Co: 0.750 0.750 0.750
Cu: 0.250 0.250 0.250
Nb: 0.500 0.500 0.500
Pb: 0.000 0.000 0.000

=====

#two
First-principles (PBE) data for NbCoCuPb after structural relaxation, as listed in the Open Quantum Materials Database.

## Properties
Space group ... No. 216

Cell: 4.526 4.526 4.526 Å, 60.00 60.00 60.00°
Fractional coordinates of all 4 atoms:
Co: 0.500 0.500 0.500
Cu: 0.750 0.750 0.750
Nb: 0.250 0.250 0.250
Pb: 0.000 0.000 0.000

=====

Which one sits at the top of the stability order? #one does.

=====

#one
First-principles (PBE) data for NbCoCuSb after structural relaxation, as listed in the Open Quantum Materials Database.

## Properties
Space group ... No. 216

Cell: 4.421 4.421 4.421 Å, 60.00 60.00 60.00°
Fractional coordinates of all 4 atoms:
Co: 0.750 0.750 0.750
Cu: 0.250 0.250 0.250
Nb: 0.500 0.500 0.500
Sb: 0.000 0.000 0.000

=====

#two
First-principles (PBE) data for NbCoCuSb after structural relaxation, as listed in the Open Quantum Materials Database.

## Properties
Space group ... No. 216

Cell: 4.460 4.460 4.460 Å, 60.00 60.00 60.00°
Fractional coordinates of all 4 atoms:
Co: 0.500 0.500 0.500
Cu: 0.750 0.750 0.750
Nb: 0.250 0.250 0.250
Sb: 0.000 0.000 0.000

=====

Which one sits at the top of the stability order? #one does.

=====

#one
First-principles (PBE) data for ScNbCoCu after structural relaxation, as listed in the Open Quantum Materials Database.

## Properties
Space group ... No. 216

Cell: 4.418 4.418 4.418 Å, 60.00 60.00 60.00°
Fractional coordinates of all 4 atoms:
Co: 0.250 0.250 0.250
Cu: 0.750 0.750 0.750
Nb: 0.500 0.500 0.500
Sc: 0.000 0.000 0.000

=====

#two
First-principles (PBE) data for ScNbCoCu after structural relaxation, as listed in the Open Quantum Materials Database.

## Properties
Space group ... No. 216

Cell: 4.349 4.349 4.349 Å, 60.00 60.00 60.00°
Fractional coordinates of all 4 atoms:
Co: 0.500 0.500 0.500
Cu: 0.750 0.750 0.750
Nb: 0.250 0.250 0.250
Sc: 0.000 0.000 0.000

=====

Which one sits at the top of the stability order? #one does.